Computed, not measured: BaTi4O7 after structural relaxation at the GGA-PBE level of DFT.

Energy above the lowest structure with this stoichiometry (meV per atom): 0.0
Energy relative to the elements, uncorrected (eV per atom): -2.784
ρ (g/cm3): 3.5

Cell and atoms, written as CIF:
```
data_BaTi4O7
_cell_length_a 13.9610
_cell_length_b 5.3011
_cell_length_c 5.6223
_cell_angle_alpha 90.00
_cell_angle_beta 90.00
_cell_angle_gamma 90.00
_space_group_name_H-M_alt 'P 1'
_space_group_IT_number 1
loop_
_space_group_symop_operation_xyz
'x,y,z'
loop_
_atom_site_label
_atom_site_type_symbol
_atom_site_fract_x
_atom_site_fract_y
_atom_site_fract_z
_atom_site_occupancy
Ba1 Ba 0.0000 0.0865 0.0000 1
Ba2 Ba 0.5000 0.9135 0.5000 1
Ti1 Ti 0.1267 0.6953 0.5555 1
Ti2 Ti 0.2452 0.8694 0.1441 1
Ti3 Ti 0.2548 0.1306 0.6441 1
Ti4 Ti 0.3733 0.3047 0.0555 1
Ti5 Ti 0.6267 0.3047 0.0555 1
Ti6 Ti 0.7452 0.1306 0.6441 1
Ti7 Ti 0.7548 0.8694 0.1441 1
Ti8 Ti 0.8733 0.6953 0.5555 1
O1 O 0.0000 0.7791 0.6495 1
O2 O 0.1159 0.7695 0.2326 1
O3 O 0.1547 0.3581 0.6022 1
O4 O 0.1852 0.8773 0.8162 1
O5 O 0.3148 0.1227 0.3162 1
O6 O 0.3453 0.6419 0.1022 1
O7 O 0.3841 0.2305 0.7326 1
O8 O 0.5000 0.2209 0.1495 1
O9 O 0.6159 0.2305 0.7326 1
O10 O 0.6547 0.6419 0.1022 1
O11 O 0.6852 0.1227 0.3162 1
O12 O 0.8148 0.8773 0.8162 1
O13 O 0.8453 0.3581 0.6022 1
O14 O 0.8841 0.7695 0.2326 1
```


Computed, not measured: PmPr3Y6 after structural relaxation at the GGA-PBE level of DFT.

Energy above the lowest structure with this stoichiometry (meV per atom): 125.3
E_form (eV per atom): 0.2642
ρ (g/cm3): 5.4

Cell and atoms, written as CIF:
```
data_PmPr3Y6
_cell_length_a 6.9919
_cell_length_b 6.9919
_cell_length_c 6.9919
_cell_angle_alpha 91.65
_cell_angle_beta 91.65
_cell_angle_gamma 91.65
_space_group_name_H-M_alt 'P 1'
_space_group_IT_number 1
loop_
_space_group_symop_operation_xyz
'x,y,z'
loop_
_atom_site_label
_atom_site_type_symbol
_atom_site_fract_x
_atom_site_fract_y
_atom_site_fract_z
_atom_site_occupancy
Pm1 Pm 0.0000 0.0000 0.0000 1
Pr1 Pr 0.2492 0.2492 0.2492 1
Pr2 Pr 0.5000 0.5000 0.5000 1
Pr3 Pr 0.7508 0.7508 0.7508 1
Y1 Y 0.0756 0.7513 0.4237 1
Y2 Y 0.2487 0.5763 0.9244 1
Y3 Y 0.4237 0.0756 0.7513 1
Y4 Y 0.5763 0.9244 0.2487 1
Y5 Y 0.7513 0.4237 0.0756 1
Y6 Y 0.9244 0.2487 0.5763 1
```


Computed, not measured: Mn2PdI after structural relaxation at the GGA-PBE level of DFT.

Energy above the lowest structure with this stoichiometry (meV per atom): 0.0
Energy relative to the elements, uncorrected (eV per atom): 0.880
ρ (g/cm3): 9.7

Cell and atoms, written as CIF:
```
data_Mn2PdI
_cell_length_a 4.3594
_cell_length_b 4.3594
_cell_length_c 4.3594
_cell_angle_alpha 60.00
_cell_angle_beta 60.00
_cell_angle_gamma 60.00
_space_group_name_H-M_alt 'P 1'
_space_group_IT_number 1
loop_
_space_group_symop_operation_xyz
'x,y,z'
loop_
_atom_site_label
_atom_site_type_symbol
_atom_site_fract_x
_atom_site_fract_y
_atom_site_fract_z
_atom_site_occupancy
Mn1 Mn 0.2500 0.2500 0.2500 1
Mn2 Mn 0.7500 0.7500 0.7500 1
Pd1 Pd 0.0000 0.0000 0.0000 1
I1 I 0.5000 0.5000 0.5000 1
```


Computed, not measured: Pm6Nd3Sm2Y after structural relaxation at the GGA-PBE level of DFT.

E_form (eV per atom): 0.0129
ρ (g/cm3): 6.8

Cell and atoms, written as CIF:
```
data_Pm6Nd3Sm2Y
_cell_length_a 6.3250
_cell_length_b 6.3250
_cell_length_c 12.1057
_cell_angle_alpha 95.01
_cell_angle_beta 95.01
_cell_angle_gamma 119.99
_space_group_name_H-M_alt 'P 1'
_space_group_IT_number 1
loop_
_space_group_symop_operation_xyz
'x,y,z'
loop_
_atom_site_label
_atom_site_type_symbol
_atom_site_fract_x
_atom_site_fract_y
_atom_site_fract_z
_atom_site_occupancy
Pm1 Pm 0.0837 0.4171 0.7520 1
Pm2 Pm 0.2494 0.2494 0.2482 1
Pm3 Pm 0.4171 0.0837 0.7520 1
Pm4 Pm 0.5829 0.9163 0.2480 1
Pm5 Pm 0.7506 0.7506 0.7518 1
Pm6 Pm 0.9163 0.5829 0.2480 1
Nd1 Nd 0.0000 0.0000 0.5000 1
Nd2 Nd 0.3334 0.6666 0.5000 1
Nd3 Nd 0.6666 0.3334 0.5000 1
Sm1 Sm 0.1667 0.8333 0.0000 1
Sm2 Sm 0.8333 0.1667 0.0000 1
Y1 Y 0.5000 0.5000 0.0000 1
```


Computed, not measured: LiHg2As2 after structural relaxation at the GGA-PBE level of DFT.

Energy above the lowest structure with this stoichiometry (meV per atom): 41.2
E_form (eV per atom): 0.0906
ρ (g/cm3): 7.7

Cell and atoms, written as CIF:
```
data_LiHg2As2
_cell_length_a 7.1530
_cell_length_b 7.1530
_cell_length_c 7.1530
_cell_angle_alpha 144.85
_cell_angle_beta 144.85
_cell_angle_gamma 50.56
_space_group_name_H-M_alt 'P 1'
_space_group_IT_number 1
loop_
_space_group_symop_operation_xyz
'x,y,z'
loop_
_atom_site_label
_atom_site_type_symbol
_atom_site_fract_x
_atom_site_fract_y
_atom_site_fract_z
_atom_site_occupancy
Li1 Li 0.0000 0.0000 0.0000 1
Hg1 Hg 0.3947 0.3947 0.0000 1
Hg2 Hg 0.6053 0.6053 0.0000 1
As1 As 0.2500 0.7500 0.5000 1
As2 As 0.7500 0.2500 0.5000 1
```


Computed, not measured: Ho3ZrAg3Te8 after structural relaxation at the GGA-PBE level of DFT.

Energy relative to the elements, uncorrected (eV per atom): -0.816
ρ (g/cm3): 6.9

Cell and atoms, written as CIF:
```
data_Ho3ZrAg3Te8
_cell_length_a 8.6343
_cell_length_b 8.6343
_cell_length_c 8.7182
_cell_angle_alpha 119.76
_cell_angle_beta 119.76
_cell_angle_gamma 60.00
_space_group_name_H-M_alt 'P 1'
_space_group_IT_number 1
loop_
_space_group_symop_operation_xyz
'x,y,z'
loop_
_atom_site_label
_atom_site_type_symbol
_atom_site_fract_x
_atom_site_fract_y
_atom_site_fract_z
_atom_site_occupancy
Ho1 Ho 0.0000 0.0000 0.0000 1
Ho2 Ho 0.0000 0.5000 0.0000 1
Ho3 Ho 0.5000 0.0000 0.0000 1
Zr1 Zr 0.5000 0.5000 0.0000 1
Ag1 Ag 0.0000 0.5000 0.5000 1
Ag2 Ag 0.5000 0.0000 0.5000 1
Ag3 Ag 0.5000 0.5000 0.5000 1
Te1 Te 0.2521 0.2521 0.2556 1
Te2 Te 0.2581 0.2581 0.7572 1
Te3 Te 0.2582 0.7402 0.7571 1
Te4 Te 0.2598 0.7418 0.2429 1
Te5 Te 0.7402 0.2582 0.7571 1
Te6 Te 0.7418 0.2598 0.2429 1
Te7 Te 0.7419 0.7419 0.2428 1
Te8 Te 0.7479 0.7479 0.7444 1
```


Computed, not measured: Fe3HW after structural relaxation at the GGA-PBE level of DFT.

Energy above the lowest structure with this stoichiometry (meV per atom): 900.1
ρ (g/cm3): 8.6

Cell and atoms, written as CIF:
```
data_Fe3HW
_cell_length_a 3.4544
_cell_length_b 3.4544
_cell_length_c 5.7316
_cell_angle_alpha 90.00
_cell_angle_beta 90.00
_cell_angle_gamma 90.00
_space_group_name_H-M_alt 'P 1'
_space_group_IT_number 1
loop_
_space_group_symop_operation_xyz
'x,y,z'
loop_
_atom_site_label
_atom_site_type_symbol
_atom_site_fract_x
_atom_site_fract_y
_atom_site_fract_z
_atom_site_occupancy
Fe1 Fe 0.0000 0.0000 0.0000 1
Fe2 Fe 0.0000 0.5000 0.7066 1
Fe3 Fe 0.5000 0.0000 0.7066 1
H1 H 0.5000 0.5000 0.8028 1
W1 W 0.0000 0.0000 0.4178 1
```


Computed, not measured: Li3Cd3Pd after structural relaxation at the GGA-PBE level of DFT.

Energy above the lowest structure with this stoichiometry (meV per atom): 0.0
E_form (eV per atom): -0.2271
ρ (g/cm3): 6.1

Cell and atoms, written as CIF:
```
data_Li3Cd3Pd
_cell_length_a 7.9758
_cell_length_b 7.9758
_cell_length_c 7.9758
_cell_angle_alpha 90.00
_cell_angle_beta 90.00
_cell_angle_gamma 90.00
_space_group_name_H-M_alt 'P 1'
_space_group_IT_number 1
loop_
_space_group_symop_operation_xyz
'x,y,z'
loop_
_atom_site_label
_atom_site_type_symbol
_atom_site_fract_x
_atom_site_fract_y
_atom_site_fract_z
_atom_site_occupancy
Li1 Li 0.0595 0.2594 0.8540 1
Li2 Li 0.1460 0.5595 0.2406 1
Li3 Li 0.2406 0.1460 0.5595 1
Li4 Li 0.2594 0.8540 0.0595 1
Li5 Li 0.3540 0.4405 0.7406 1
Li6 Li 0.4405 0.7406 0.3540 1
Li7 Li 0.5595 0.2406 0.1460 1
Li8 Li 0.6460 0.9405 0.7594 1
Li9 Li 0.7406 0.3540 0.4405 1
Li10 Li 0.7594 0.6460 0.9405 1
Li11 Li 0.8540 0.0595 0.2594 1
Li12 Li 0.9405 0.7594 0.6460 1
Cd1 Cd 0.0582 0.4418 0.5582 1
Cd2 Cd 0.1157 0.8843 0.3843 1
Cd3 Cd 0.1998 0.1998 0.1998 1
Cd4 Cd 0.3002 0.8002 0.6998 1
Cd5 Cd 0.3843 0.1157 0.8843 1
Cd6 Cd 0.4418 0.5582 0.0582 1
Cd7 Cd 0.5582 0.0582 0.4418 1
Cd8 Cd 0.6157 0.6157 0.6157 1
Cd9 Cd 0.6998 0.3002 0.8002 1
Cd10 Cd 0.8002 0.6998 0.3002 1
Cd11 Cd 0.8843 0.3843 0.1157 1
Cd12 Cd 0.9418 0.9418 0.9418 1
Pd1 Pd 0.0963 0.5963 0.9037 1
Pd2 Pd 0.4037 0.4037 0.4037 1
Pd3 Pd 0.5963 0.9037 0.0963 1
Pd4 Pd 0.9037 0.0963 0.5963 1
```